1.
AlHSe2N PBE-GGA optimized geometry; crystal system = tetragonal; SG = P4/mmm, No. 123; total DFT energy (no corrections) = -3.587 eV/atom; total moment = 0.2450 μB/atom; volume = 18.44 A^3/atom
1.0
-4.972 1.001 -0.666
-0.797 -4.865 -1.365
-0.620 -0.842 3.364
Al H Se N
1 1 2 1
Direct
0.000 0.000 0.000
0.500 0.500 0.500
0.000 0.500 0.000
0.500 0.000 0.000
0.000 0.000 0.500



2.
NiIr4Rh6 PBE-GGA optimized geometry; crystal system = tetragonal; SG = I-42m, No. 121; formation enthalpy at 0 K = 7.0 eV/f.u.; total moment = 0.0000 μB/atom; volume = 16.95 A^3/atom
1.0
-3.600 5.422 -0.384
-0.351 -4.140 5.024
6.399 0.074 1.249
Ir Rh Ni
4 6 1
Direct
0.483 0.371 0.371
0.000 0.112 0.629
0.517 0.888 0.888
0.000 0.629 0.112
0.000 0.491 0.785
0.500 0.000 0.500
0.293 0.509 0.509
0.500 0.500 0.000
0.000 0.785 0.491
0.707 0.215 0.215
0.000 0.000 0.000



3.
Sm3Si2Ir3 PBE-GGA optimized geometry; crystal system = orthorhombic; SG = Pnma, No. 62; total DFT energy (no corrections) = -7.407 eV/atom; total moment = 0.0000 μB/atom; volume = 20.26 A^3/atom
1.0
5.660 0.000 0.000
0.000 7.695 0.000
0.000 0.000 14.889
Sm Ir Si
12 12 8
Direct
0.133 0.474 0.392
0.099 0.171 0.750
0.867 0.526 0.608
0.901 0.829 0.250
0.633 0.026 0.608
0.401 0.671 0.750
0.633 0.026 0.892
0.867 0.526 0.892
0.133 0.474 0.108
0.599 0.329 0.250
0.367 0.974 0.108
0.367 0.974 0.392
0.103 0.165 0.961
0.603 0.335 0.039
0.921 0.822 0.750
0.079 0.178 0.250
0.397 0.665 0.539
0.897 0.835 0.461
0.579 0.322 0.750
0.603 0.335 0.461
0.397 0.665 0.961
0.103 0.165 0.539
0.897 0.835 0.039
0.421 0.678 0.250
0.626 0.626 0.399
0.626 0.626 0.101
0.374 0.374 0.601
0.374 0.374 0.899
0.126 0.874 0.601
0.874 0.126 0.101
0.874 0.126 0.399
0.126 0.874 0.899